Record 1
## Cs6HAu (GGA-PBE)

Data for a geometry-optimized Cs6HAu structure.

Cell and atoms, written as CIF:
```
data_Cs6HAu
_chemical_formula_sum 'Cs6 H1 Au1'
_cell_length_a 8.956
_cell_length_b 8.956
_cell_length_c 8.744
_cell_angle_alpha 99.10
_cell_angle_beta 99.10
_cell_angle_gamma 120.87
_symmetry_space_group_name_H-M 'P 1'
_symmetry_Int_Tables_number 1
loop_
_symmetry_equiv_pos_as_xyz
'x,y,z'
loop_
_atom_site_label
_atom_site_type_symbol
_atom_site_fract_x
_atom_site_fract_y
_atom_site_fract_z
Cs1 Cs 0.076 0.373 0.242
Cs2 Cs 0.248 0.248 0.769
Cs3 Cs 0.373 0.076 0.242
Cs4 Cs 0.627 0.924 0.758
Cs5 Cs 0.752 0.752 0.231
Cs6 Cs 0.924 0.627 0.758
H1 H 0.000 0.000 0.000
Au1 Au 0.500 0.500 0.500
```

Excess energy over the best structure of this formula in the dataset   0 meV per atom
Calculated total energy   -1.569 eV per atom
Space-group type   C2/m (12)
Total magnetization   0.0 Bohr magnetons per cell



Record 2
## Cs3H4Au (GGA-PBE)

Data for a geometry-optimized Cs3H4Au structure.

Cell and atoms, written as CIF:
```
data_Cs3H4Au
_chemical_formula_sum 'Cs6 H8 Au2'
_cell_length_a 9.151
_cell_length_b 6.491
_cell_length_c 6.754
_cell_angle_alpha 90.00
_cell_angle_beta 90.00
_cell_angle_gamma 90.00
_symmetry_space_group_name_H-M 'P 1'
_symmetry_Int_Tables_number 1
loop_
_symmetry_equiv_pos_as_xyz
'x,y,z'
loop_
_atom_site_label
_atom_site_type_symbol
_atom_site_fract_x
_atom_site_fract_y
_atom_site_fract_z
Cs1 Cs 0.000 0.249 0.000
Cs2 Cs 0.243 0.250 0.471
Cs3 Cs 0.257 0.750 0.971
Cs4 Cs 0.500 0.751 0.500
Cs5 Cs 0.743 0.750 0.971
Cs6 Cs 0.757 0.250 0.471
H1 H 0.000 0.533 0.673
H2 H 0.000 0.968 0.671
H3 H 0.176 0.750 0.404
H4 H 0.324 0.250 0.904
H5 H 0.500 0.032 0.171
H6 H 0.500 0.467 0.173
H7 H 0.676 0.250 0.904
H8 H 0.824 0.750 0.404
Au1 Au 0.000 0.750 0.496
Au2 Au 0.500 0.250 0.996
```

Calculated total energy   -2.564 eV per atom
Space-group type   Pmn2_1 (31)
Total magnetization   0.0 Bohr magnetons per cell